1.
Below is a geometry-optimized ReP2I2 structure, with properties calculated at the GGA-PBE level. Values from VASP.

Values from the calculation:
Space group ... P4/mbm

Quantum ESPRESSO input file:
```
&SYSTEM
  ibrav = 0, nat = 10, ntyp = 3
/
ATOMIC_SPECIES
Re 186.21 Re.upf
P 30.97 P.upf
I 126.90 I.upf
CELL_PARAMETERS angstrom
6.107 0.000 0.000
0.000 6.107 0.000
0.000 0.000 8.360
ATOMIC_POSITIONS angstrom
Re 0.000 0.000 0.000
Re 3.054 3.054 0.000
P 0.810 2.243 0.000
P 2.243 5.297 0.000
P 3.864 0.810 0.000
P 5.297 3.864 0.000
I 1.151 4.205 4.180
I 1.902 1.151 4.180
I 4.205 4.956 4.180
I 4.956 1.902 4.180
```

2.
Below is a geometry-optimized ReTePI2 structure, with properties calculated at the GGA-PBE level. Values from VASP.

Values from the calculation:
Space group ... P4/mmm

Quantum ESPRESSO input file:
```
&SYSTEM
  ibrav = 0, nat = 5, ntyp = 4
/
ATOMIC_SPECIES
Re 186.21 Re.upf
Te 127.60 Te.upf
P 30.97 P.upf
I 126.90 I.upf
CELL_PARAMETERS angstrom
5.335 0.000 0.000
0.000 5.335 0.000
0.000 0.000 5.543
ATOMIC_POSITIONS angstrom
Re 0.000 0.000 0.000
Te 2.668 2.668 0.000
P 2.668 2.668 2.772
I 0.000 2.668 2.772
I 2.668 0.000 2.772
```

3.
Below is a geometry-optimized ReTePI2 structure, with properties calculated at the GGA-PBE level. Values from VASP.

Values from the calculation:
Space group ... P4/mmm

Quantum ESPRESSO input file:
```
&SYSTEM
  ibrav = 0, nat = 5, ntyp = 4
/
ATOMIC_SPECIES
Re 186.21 Re.upf
Te 127.60 Te.upf
P 30.97 P.upf
I 126.90 I.upf
CELL_PARAMETERS angstrom
5.408 0.000 0.000
0.000 5.408 0.000
0.000 0.000 5.122
ATOMIC_POSITIONS angstrom
Re 0.000 0.000 0.000
Te 0.000 0.000 2.561
P 2.704 2.704 2.561
I 0.000 2.704 0.000
I 2.704 0.000 0.000
```

The calculation returns the following formation energy from raw total energies values, one per record and in order: 0.65; 1.42; 1.16 eV per atom.
The calculation returns the following uncorrected energy values, one per record and in order: -46.26; -17.00; -18.29 eV/cell.